1.
# SrRu4 | the Alexandria database | PBE-GGA | optimized geometry
# Excess energy over the best structure of this formula in the dataset (meV per atom): 0
# ρ (g cm⁻³): 8.692
# Magnetization (μB per formula unit): 0.0
# Electronic total energy (eV per atom): -7.414
# ΔH_f (0 K) (kJ per mole of atoms): 33.09
data_SrRu4
_chemical_formula_sum 'Sr2 Ru8'
_cell_length_a 4.2267
_cell_length_b 4.2267
_cell_length_c 10.5203
_cell_angle_alpha 90.00
_cell_angle_beta 90.00
_cell_angle_gamma 90.00
_symmetry_space_group_name_H-M 'I 4/m m m'
_symmetry_Int_Tables_number 139
_symmetry_space_group_name_Hall '-I 4 2'
loop_
_atom_site_label
_atom_site_type_symbol
_atom_site_fract_x
_atom_site_fract_y
_atom_site_fract_z
Sr1 Sr 0.0000 0.0000 0.0000
Ru1 Ru 0.0000 0.0000 0.3861
Ru2 Ru 0.0000 0.5000 0.2500

---

2.
# Th3TcBi | the Alexandria database | PBE-GGA | optimized geometry
# Excess energy over the best structure of this formula in the dataset (meV per atom): 77
# ρ (g cm⁻³): 10.924
# Magnetization (μB per formula unit): 0.0
# Electronic total energy (eV per atom): -7.551
# ΔH_f (0 K) (kJ per mole of atoms): -24.05
data_Th3TcBi
_chemical_formula_sum 'Th12 Tc4 Bi4'
_cell_length_a 7.7951
_cell_length_b 14.9681
_cell_length_c 5.2274
_cell_angle_alpha 90.00
_cell_angle_beta 90.00
_cell_angle_gamma 90.00
_symmetry_space_group_name_H-M 'C m m m'
_symmetry_Int_Tables_number 65
_symmetry_space_group_name_Hall '-C 2 2'
loop_
_atom_site_label
_atom_site_type_symbol
_atom_site_fract_x
_atom_site_fract_y
_atom_site_fract_z
Th1 Th 0.0000 0.1219 0.0000
Th2 Th 0.1987 0.5000 0.5000
Th3 Th 0.2500 0.2500 0.5000
Tc1 Tc 0.0000 0.1094 0.5000
Bi1 Bi 0.0000 0.3601 0.0000

---

3.
# LaNd5Ga4 | the Alexandria database | PBE-GGA | optimized geometry
# Excess energy over the best structure of this formula in the dataset (meV per atom): 164
# ρ (g cm⁻³): 6.339
# Magnetization (μB per formula unit): 0.0
# Electronic total energy (eV per atom): -4.354
# ΔH_f (0 K) (kJ per mole of atoms): -25.70
data_LaNd5Ga4
_chemical_formula_sum 'La2 Nd10 Ga8'
_cell_length_a 8.0409
_cell_length_b 8.8346
_cell_length_c 8.4003
_cell_angle_alpha 90.00
_cell_angle_beta 90.00
_cell_angle_gamma 90.00
_symmetry_space_group_name_H-M 'P m m n'
_symmetry_Int_Tables_number 59
loop_
_symmetry_equiv_pos_as_xyz
'x,y,z'
'-x,-y,-z'
'-x+1/2,-y+1/2,z'
'x+1/2,y+1/2,-z'
'x+1/2,-y,-z'
'-x+1/2,y,z'
'-x,y+1/2,-z'
'x,-y+1/2,z'
loop_
_atom_site_label
_atom_site_type_symbol
_atom_site_fract_x
_atom_site_fract_y
_atom_site_fract_z
La1 La 0.2500 0.2500 0.1398
Nd1 Nd 0.0043 0.0512 0.7671
Nd2 Nd 0.2500 0.7500 0.5777
Ga1 Ga 0.0985 0.7500 0.9423
Ga2 Ga 0.2500 0.0996 0.4852

---

4.
# SiP2RuN | the Alexandria database | PBE-GGA | optimized geometry
# Excess energy over the best structure of this formula in the dataset (meV per atom): 100
# ρ (g cm⁻³): 4.634
# Magnetization (μB per formula unit): 0.0
# Electronic total energy (eV per atom): -6.996
# Uncorrected formation energy (eV/atom): -0.23
data_SiP2RuN
_chemical_formula_sum 'Si1 P2 Ru1 N1'
_cell_length_a 2.8783
_cell_length_b 4.3860
_cell_length_c 6.3295
_cell_angle_alpha 90.92
_cell_angle_beta 102.64
_cell_angle_gamma 108.78
_symmetry_space_group_name_H-M 'P 1'
_symmetry_Int_Tables_number 1
_symmetry_space_group_name_Hall 'P 1'
loop_
_atom_site_label
_atom_site_type_symbol
_atom_site_fract_x
_atom_site_fract_y
_atom_site_fract_z
Si1 Si 0.0000 0.0000 0.0000
P1 P 0.1550 0.9498 0.3682
P2 P 0.6550 0.5347 0.7765
Ru1 Ru 0.4739 0.5250 0.4211
N1 N 0.5607 0.2025 0.9197

---

5.
# Pu5Ga2Pd4 | the Alexandria database | PBE-GGA | optimized geometry
# ρ (g cm⁻³): 12.384
# Magnetization (μB per formula unit): 29.4
# Electronic total energy (eV per atom): -9.150
# ΔH_f (0 K) (kJ per mole of atoms): -18.99
data_Pu5Ga2Pd4
_chemical_formula_sum 'Pu10 Ga4 Pd8'
_cell_length_a 2.9189
_cell_length_b 9.0404
_cell_length_c 18.1416
_cell_angle_alpha 90.00
_cell_angle_beta 90.00
_cell_angle_gamma 90.00
_symmetry_space_group_name_H-M 'I m m m'
_symmetry_Int_Tables_number 71
_symmetry_space_group_name_Hall '-I 2 2'
loop_
_atom_site_label
_atom_site_type_symbol
_atom_site_fract_x
_atom_site_fract_y
_atom_site_fract_z
Pu1 Pu 0.0000 0.0000 0.0000
Pu2 Pu 0.0000 0.2704 0.3436
Ga1 Ga 0.0000 0.5000 0.2217
Pd1 Pd 0.0000 0.2129 0.5000
Pd2 Pd 0.0000 0.5000 0.0819

---

6.
# KZnSbH2 | the Alexandria database | PBE-GGA | optimized geometry
# ρ (g cm⁻³): 3.644
# Magnetization (μB per formula unit): 0.0
# Electronic total energy (eV per atom): -2.152
data_KZnSbH2
_chemical_formula_sum 'K1 Zn1 Sb1 H2'
_cell_length_a 4.4563
_cell_length_b 4.4563
_cell_length_c 5.2385
_cell_angle_alpha 90.00
_cell_angle_beta 90.00
_cell_angle_gamma 90.00
_symmetry_space_group_name_H-M 'P 4/m m m'
_symmetry_Int_Tables_number 123
_symmetry_space_group_name_Hall '-P 4 2'
loop_
_atom_site_label
_atom_site_type_symbol
_atom_site_fract_x
_atom_site_fract_y
_atom_site_fract_z
K1 K 0.0000 0.0000 0.0000
Zn1 Zn 0.5000 0.5000 0.5000
Sb1 Sb 0.5000 0.5000 0.0000
H1 H 0.0000 0.5000 0.5000

---

7.
# Pr2EuY | the Alexandria database | PBE-GGA | optimized geometry
# Excess energy over the best structure of this formula in the dataset (meV per atom): 98
# ρ (g cm⁻³): 5.889
# Magnetization (μB per formula unit): 8.0
# Electronic total energy (eV per atom): -6.446
# ΔH_f (0 K) (kJ per mole of atoms): 12.39
data_Pr2EuY
_chemical_formula_sum 'Pr6 Eu3 Y3'
_cell_length_a 3.6358
_cell_length_b 3.6358
_cell_length_c 38.6200
_cell_angle_alpha 90.00
_cell_angle_beta 90.00
_cell_angle_gamma 120.00
_symmetry_space_group_name_H-M 'R -3 m'
_symmetry_Int_Tables_number 166
_symmetry_space_group_name_Hall '-R 3 2"'
loop_
_atom_site_label
_atom_site_type_symbol
_atom_site_fract_x
_atom_site_fract_y
_atom_site_fract_z
Pr1 Pr 0.0000 0.0000 0.0908
Eu1 Eu 0.0000 0.0000 0.0000
Y1 Y 0.0000 0.0000 0.5000

---

8.
# AcTbSb2 | the Alexandria database | PBE-GGA | optimized geometry
# Excess energy over the best structure of this formula in the dataset (meV per atom): 123
# ρ (g cm⁻³): 7.337
# Magnetization (μB per formula unit): 0.0
# Electronic total energy (eV per atom): -5.286
# Uncorrected formation energy (eV/atom): -1.04
data_AcTbSb2
_chemical_formula_sum 'Ac1 Tb1 Sb2'
_cell_length_a 4.5522
_cell_length_b 4.5522
_cell_length_c 7.9382
_cell_angle_alpha 90.00
_cell_angle_beta 90.00
_cell_angle_gamma 120.00
_symmetry_space_group_name_H-M 'P -3 m 1'
_symmetry_Int_Tables_number 164
_symmetry_space_group_name_Hall '-P 3 2"'
loop_
_atom_site_label
_atom_site_type_symbol
_atom_site_fract_x
_atom_site_fract_y
_atom_site_fract_z
Ac1 Ac 0.0000 0.0000 0.0000
Tb1 Tb 0.0000 0.0000 0.5000
Sb1 Sb 0.3333 0.6667 0.7282

---

9.
# Pr4TmMg3 | the Alexandria database | PBE-GGA | optimized geometry
# ρ (g cm⁻³): 5.426
# Magnetization (μB per formula unit): 0.0
# Electronic total energy (eV per atom): -3.598
# ΔH_f (0 K) (kJ per mole of atoms): -4.95
data_Pr4TmMg3
_chemical_formula_sum 'Pr4 Tm1 Mg3'
_cell_length_a 3.8659
_cell_length_b 5.6350
_cell_length_c 11.3156
_cell_angle_alpha 90.00
_cell_angle_beta 90.00
_cell_angle_gamma 90.00
_symmetry_space_group_name_H-M 'P m m m'
_symmetry_Int_Tables_number 47
_symmetry_space_group_name_Hall '-P 2 2'
loop_
_atom_site_label
_atom_site_type_symbol
_atom_site_fract_x
_atom_site_fract_y
_atom_site_fract_z
Pr1 Pr 0.0000 0.0000 0.0000
Pr2 Pr 0.0000 0.0000 0.5000
Pr3 Pr 0.0000 0.5000 0.2418
Tm1 Tm 0.5000 0.5000 0.5000
Mg1 Mg 0.5000 0.0000 0.2507
Mg2 Mg 0.5000 0.5000 0.0000

---

10.
# MgSc2Sn2 | the Alexandria database | PBE-GGA | optimized geometry
# ρ (g cm⁻³): 4.887
# Magnetization (μB per formula unit): 0.0
# Electronic total energy (eV per atom): -4.927
# ΔH_f (0 K) (kJ per mole of atoms): -45.78
data_MgSc2Sn2
_chemical_formula_sum 'Mg4 Sc8 Sn8'
_cell_length_a 4.6329
_cell_length_b 16.1223
_cell_length_c 6.3981
_cell_angle_alpha 90.00
_cell_angle_beta 90.00
_cell_angle_gamma 90.00
_symmetry_space_group_name_H-M 'C m c 21'
_symmetry_Int_Tables_number 36
_symmetry_space_group_name_Hall 'C 2c -2'
loop_
_atom_site_label
_atom_site_type_symbol
_atom_site_fract_x
_atom_site_fract_y
_atom_site_fract_z
Mg1 Mg 0.0000 0.1089 0.0000
Sc1 Sc 0.0000 0.3105 0.1094
Sc2 Sc 0.0000 0.4886 0.7994
Sn1 Sn 0.0000 0.0704 0.5515
Sn2 Sn 0.0000 0.3084 0.6133

---

11.
# AcSm2Dy3Se6 | the Alexandria database | PBE-GGA | optimized geometry
# ρ (g cm⁻³): 8.009
# Magnetization (μB per formula unit): 0.0
# Electronic total energy (eV per atom): -5.802
# Uncorrected formation energy (eV/atom): -1.78
data_AcSm2Dy3Se6
_chemical_formula_sum 'Ac2 Sm4 Dy6 Se12'
_cell_length_a 7.1486
_cell_length_b 12.4485
_cell_length_c 7.3438
_cell_angle_alpha 90.00
_cell_angle_beta 109.13
_cell_angle_gamma 90.00
_symmetry_space_group_name_H-M 'C 1 2/m 1'
_symmetry_Int_Tables_number 12
_symmetry_space_group_name_Hall '-C 2y'
loop_
_atom_site_label
_atom_site_type_symbol
_atom_site_fract_x
_atom_site_fract_y
_atom_site_fract_z
Ac1 Ac 0.0000 0.0000 0.0000
Sm1 Sm 0.0000 0.3324 0.0000
Dy1 Dy 0.0000 0.1622 0.5000
Dy2 Dy 0.0000 0.5000 0.5000
Se1 Se 0.2388 0.3284 0.7324
Se2 Se 0.2436 0.5000 0.2625

---

12.
# KTaHg | the Alexandria database | PBE-GGA | optimized geometry
# Excess energy over the best structure of this formula in the dataset (meV per atom): 937
# ρ (g cm⁻³): 9.796
# Magnetization (μB per formula unit): 0.0
# Electronic total energy (eV per atom): -3.192
# ΔH_f (0 K) (kJ per mole of atoms): 118.19
data_KTaHg
_chemical_formula_sum 'K2 Ta2 Hg2'
_cell_length_a 5.2399
_cell_length_b 5.2399
_cell_length_c 5.9973
_cell_angle_alpha 90.00
_cell_angle_beta 90.00
_cell_angle_gamma 120.00
_symmetry_space_group_name_H-M 'P 63/m m c'
_symmetry_Int_Tables_number 194
_symmetry_space_group_name_Hall '-P 6c 2c'
loop_
_atom_site_label
_atom_site_type_symbol
_atom_site_fract_x
_atom_site_fract_y
_atom_site_fract_z
K1 K 0.0000 0.0000 0.0000
Ta1 Ta 0.3333 0.6667 0.2500
Hg1 Hg 0.3333 0.6667 0.7500

---

Copy entry 12 word for word.
# KTaHg | the Alexandria database | PBE-GGA | optimized geometry
# Excess energy over the best structure of this formula in the dataset (meV per atom): 937
# ρ (g cm⁻³): 9.796
# Magnetization (μB per formula unit): 0.0
# Electronic total energy (eV per atom): -3.192
# ΔH_f (0 K) (kJ per mole of atoms): 118.19
data_KTaHg
_chemical_formula_sum 'K2 Ta2 Hg2'
_cell_length_a 5.2399
_cell_length_b 5.2399
_cell_length_c 5.9973
_cell_angle_alpha 90.00
_cell_angle_beta 90.00
_cell_angle_gamma 120.00
_symmetry_space_group_name_H-M 'P 63/m m c'
_symmetry_Int_Tables_number 194
_symmetry_space_group_name_Hall '-P 6c 2c'
loop_
_atom_site_label
_atom_site_type_symbol
_atom_site_fract_x
_atom_site_fract_y
_atom_site_fract_z
K1 K 0.0000 0.0000 0.0000
Ta1 Ta 0.3333 0.6667 0.2500
Hg1 Hg 0.3333 0.6667 0.7500

---

- Which formula does entry 9 have?
  Pr4TmMg3

---

- Which formula does entry 12 have?
  KTaHg